1.
## Ba2LiTcRu (PBE-GGA)

Data for an optimized crystal structure of Ba2LiTcRu.

Summary:
Calculated formation energy (eV/atom): 0.651
E (eV/atom): -4.430
M_tot (μB/cell): 1.527

Geometry as POSCAR:
```
Ba2LiTcRu
1.0
-4.751 3.530 -1.644
-2.541 -1.793 3.493
2.006 4.442 3.739
Ru Ba Li Tc
1 2 1 1
Direct
0.000 0.000 0.000 Ru
0.000 0.000 0.500 Ba
0.500 0.000 0.000 Ba
0.500 0.500 0.500 Li
0.000 0.500 0.000 Tc
```

2.
## BaLi2YRu (PBE-GGA)

Data for an optimized crystal structure of BaLi2YRu.

Summary:
Calculated formation energy (eV/atom): 0.939
E (eV/atom): -3.359
M_tot (μB/cell): 0.000

Geometry as POSCAR:
```
BaLi2YRu
1.0
4.968 0.000 0.000
0.000 5.201 0.000
0.000 0.000 4.968
Ba Li Y Ru
1 2 1 1
Direct
0.000 0.000 0.000 Ba
0.500 0.000 0.000 Li
0.000 0.000 0.500 Li
0.500 0.500 0.500 Y
0.000 0.500 0.000 Ru
```

3.
## BaLi2ZnRu (PBE-GGA)

Data for an optimized crystal structure of BaLi2ZnRu.

Summary:
Calculated formation energy (eV/atom): 0.219
E (eV/atom): -3.042
M_tot (μB/cell): 0.000

Geometry as POSCAR:
```
BaLi2ZnRu
1.0
4.914 0.000 0.000
0.000 4.932 0.000
0.000 0.000 4.914
Ru Ba Li Zn
1 1 2 1
Direct
0.000 0.000 0.000 Ru
0.500 0.500 0.500 Ba
0.500 0.000 0.000 Li
0.000 0.000 0.500 Li
0.000 0.500 0.000 Zn
```

4.
## Ba4LiS4 (PBE-GGA)

Data for an optimized crystal structure of Ba4LiS4.

Summary:
E (eV/atom): -4.683
M_tot (μB/cell): 0.000
E_form (uncorrected) (eV per atom): -1.78

Geometry as POSCAR:
```
Ba4LiS4
1.0
-4.683 -3.890 2.293
5.796 -3.361 6.137
-2.485 6.460 5.885
Ba S Li
8 8 2
Direct
0.294 0.000 0.733 Ba
0.706 0.733 0.000 Ba
0.794 0.767 0.500 Ba
0.706 0.267 0.000 Ba
0.294 0.000 0.267 Ba
0.794 0.233 0.500 Ba
0.206 0.500 0.233 Ba
0.206 0.500 0.767 Ba
0.713 0.500 0.268 S
0.213 0.232 0.000 S
0.287 0.268 0.500 S
0.713 0.500 0.732 S
0.787 0.000 0.768 S
0.787 0.000 0.232 S
0.287 0.732 0.500 S
0.213 0.768 0.000 S
0.500 0.500 0.500 Li
0.000 0.000 0.000 Li
```